No. 1
Density functional theory data (meta-GGA SCAN) for NaCa3IrO6 at its PBEsol-relaxed geometry.

Computed properties:
- formation energy (no corrections) (eV per atom) = -2.36
- SG = R-3c, No. 167
- spin magnetization (μB per formula unit) = 2.0

Cell: 6.4711 6.4711 6.4711 Å, 90.32 90.32 90.32°
With the nearest neighbours (Å) after each atom.
Sites, in units of the cell vectors:
Na: 0.2500 0.2500 0.2500  6 O 2.33
Na: 0.7500 0.7500 0.7500  6 O 2.33
Ca: 0.1064 0.3936 0.7500  6 O 2.36-2.45
Ca: 0.7500 0.1064 0.3936  6 O 2.36-2.45
Ca: 0.3936 0.7500 0.1064  6 O 2.36-2.45
Ca: 0.8936 0.6064 0.2500  6 O 2.36-2.45
Ca: 0.2500 0.8936 0.6064  6 O 2.36-2.45
Ca: 0.6064 0.2500 0.8936  6 O 2.36-2.45
Ir: 0.5000 0.5000 0.5000  6 O 1.98
Ir: 0.0000 0.0000 0.0000  6 O 1.98
O: 0.2080 0.5593 0.4302  1 Ir 1.98
O: 0.4302 0.2080 0.5593  1 Ir 1.98
O: 0.5593 0.4302 0.2080  1 Ir 1.98
O: 0.9407 0.2920 0.0698  1 Ir 1.98
O: 0.0698 0.9407 0.2920  1 Ir 1.98
O: 0.2920 0.0698 0.9407  1 Ir 1.98
O: 0.7920 0.4407 0.5698  1 Ir 1.98
O: 0.5698 0.7920 0.4407  1 Ir 1.98
O: 0.4407 0.5698 0.7920  1 Ir 1.98
O: 0.0593 0.7080 0.9302  1 Ir 1.98
O: 0.7080 0.9302 0.0593  1 Ir 1.98
O: 0.9302 0.0593 0.7080  1 Ir 1.98

***

No. 2
Density functional theory data (meta-GGA SCAN) for KY2Tc at its PBEsol-relaxed geometry.

Computed properties:
- SG = P4mm, No. 99
- spin magnetization (μB per formula unit) = 0.0
- energy of formation (eV per atom) = 0.488

Cell: 3.8359 3.8359 8.7461 Å, 90.00 90.00 90.00°
With the nearest neighbours (Å) after each atom.
Sites, in units of the cell vectors:
K: 0.0000 0.0000 0.5431  1 Y 3.42
Tc: 0.5000 0.5000 0.8588  5 Y 2.67-2.79
Y: 0.0000 0.0000 0.9336  4 Tc 2.79
Y: 0.5000 0.5000 0.1644  1 Tc 2.67

***

No. 3
Density functional theory data (meta-GGA SCAN) for La3YBi at its PBEsol-relaxed geometry.

Computed properties:
- SG = Pm-3m, No. 221
- spin magnetization (μB per formula unit) = 3.4
- energy of formation (eV per atom) = 0.049

Cell: 6.0507 6.0507 6.0507 Å, 90.00 90.00 90.00°
With the nearest neighbours (Å) after each atom.
Sites, in units of the cell vectors:
Y: 0.5000 0.5000 0.5000  12 La 4.28
Bi: 0.0000 0.0000 0.0000  6 La 3.03
La: 0.0000 0.5000 0.0000  2 Bi 3.03
La: 0.0000 0.0000 0.5000  2 Bi 3.03
La: 0.5000 0.0000 0.0000  2 Bi 3.03

***

No. 4
Density functional theory data (meta-GGA SCAN) for Ca2Ni at its PBEsol-relaxed geometry.

Computed properties:
- SG = C2/m, No. 12
- spin magnetization (μB per formula unit) = 0.1
- energy of formation (eV per atom) = -0.087

Cell: 3.9351 5.8706 7.5500 Å, 100.79 105.11 90.00°
With the nearest neighbours (Å) after each atom.
Sites, in units of the cell vectors:
Ni: 0.2643 0.1105 0.5286  2 Ni 2.35
Ni: 0.7357 0.8895 0.4714  2 Ni 2.35
Ca: 0.6631 0.3238 0.3261  3 Ni 2.89-2.94
Ca: 0.9106 0.2052 0.8211  3 Ni 2.85-2.87
Ca: 0.0894 0.7948 0.1789  3 Ni 2.85-2.87
Ca: 0.3369 0.6762 0.6739  3 Ni 2.89-2.94

***

No. 5
Density functional theory data (meta-GGA SCAN) for CaMg2Zr at its PBEsol-relaxed geometry.

Computed properties:
- SG = P4/mmm, No. 123
- spin magnetization (μB per formula unit) = 0.1
- energy of formation (eV per atom) = 0.056

Cell: 3.3745 3.3745 8.7831 Å, 90.00 90.00 90.00°
With the nearest neighbours (Å) after each atom.
Sites, in units of the cell vectors:
Ca: 0.5000 0.5000 0.5000  4 Ca 3.37, 8 Mg 3.40
Mg: 0.0000 0.0000 0.7763  4 Zr 3.09, 4 Mg 3.37, 4 Ca 3.40
Mg: 0.0000 0.0000 0.2237  4 Zr 3.09, 4 Mg 3.37, 4 Ca 3.40
Zr: 0.5000 0.5000 0.0000  8 Mg 3.09, 4 Zr 3.37

***

No. 6
Density functional theory data (meta-GGA SCAN) for CrCuNi2 at its PBEsol-relaxed geometry.

Computed properties:
- SG = R-3m, No. 166
- spin magnetization (μB per formula unit) = 1.3
- energy of formation (eV per atom) = 0.109

Cell: 2.4710 2.4710 8.2440 Å, 81.38 81.38 60.00°
With the nearest neighbours (Å) after each atom.
Sites, in units of the cell vectors:
Cr: 0.5000 0.5000 0.5000  6 Ni 2.45, 6 Cr 2.47
Cu: 0.0000 0.0000 0.0000  6 Cu 2.47, 6 Ni 2.51
Ni: 0.2485 0.2485 0.2544  3 Cr 2.45, 6 Ni 2.47, 3 Cu 2.51
Ni: 0.7515 0.7515 0.7456  3 Cr 2.45, 6 Ni 2.47, 3 Cu 2.51

***

No. 7
Density functional theory data (meta-GGA SCAN) for LiAl2Te at its PBEsol-relaxed geometry.

Computed properties:
- formation energy (no corrections) (eV per atom) = -0.18
- SG = Cm, No. 8
- spin magnetization (μB per formula unit) = 0.0

Cell: 3.6489 4.7850 5.7781 Å, 111.53 90.00 112.41°
With the nearest neighbours (Å) after each atom.
Sites, in units of the cell vectors:
Te: 0.2809 0.5619 0.6738  3 Li 2.65-2.77, 2 Al 2.90
Al: 0.9693 0.9386 0.0736  3 Al 2.68-2.77, 2 Te 2.90
Al: 0.7259 0.4518 0.2386  3 Al 2.68-2.77, 1 Li 2.83, 2 Te 2.99
Li: 0.5239 0.0477 0.5139  3 Te 2.65-2.77, 1 Al 2.83

***

No. 8
Density functional theory data (meta-GGA SCAN) for Li2ZrMn at its PBEsol-relaxed geometry.

Computed properties:
- SG = Fm-3m, No. 225
- spin magnetization (μB per formula unit) = 3.2
- polymorph energy (0 for the lowest one) (kJ/mol of formula units) = 50
- energy of formation (eV per atom) = 0.295

Cell: 4.4275 4.4275 4.4275 Å, 60.00 60.00 60.00°
With the nearest neighbours (Å) after each atom.
Sites, in units of the cell vectors:
Mn: 0.0000 0.0000 0.0000  8 Li 2.71
Zr: 0.5000 0.5000 0.5000  8 Li 2.71
Li: 0.2500 0.2500 0.2500  4 Zr 2.71, 4 Mn 2.71
Li: 0.7500 0.7500 0.7500  4 Zr 2.71, 4 Mn 2.71

***

No. 9
Density functional theory data (meta-GGA SCAN) for TiNb2F at its PBEsol-relaxed geometry.

Computed properties:
- formation energy (no corrections) (eV per atom) = 0.35
- SG = Fm-3m, No. 225
- spin magnetization (μB per formula unit) = 0.0

Cell: 4.4361 4.4361 4.4361 Å, 60.00 60.00 60.00°
With the nearest neighbours (Å) after each atom.
Sites, in units of the cell vectors:
Nb: 0.2500 0.2500 0.2500  4 Ti 2.72, 4 F 2.72
Nb: 0.7500 0.7500 0.7500  4 Ti 2.72, 4 F 2.72
F: 0.0000 0.0000 0.0000  8 Nb 2.72
Ti: 0.5000 0.5000 0.5000  8 Nb 2.72

***

No. 10
Density functional theory data (meta-GGA SCAN) for Fe3GeH at its PBEsol-relaxed geometry.

Computed properties:
- final energy (eV per atom) = -15.46
- SG = Pm-3m, No. 221
- spin magnetization (μB per formula unit) = 7.2

Cell: 3.6008 3.6008 3.6008 Å, 90.00 90.00 90.00°
With the nearest neighbours (Å) after each atom.
Sites, in units of the cell vectors:
H: 0.0000 0.0000 0.0000  6 Fe 1.80
Ge: 0.5000 0.5000 0.5000  12 Fe 2.55
Fe: 0.0000 0.5000 0.0000  2 H 1.80
Fe: 0.0000 0.0000 0.5000  2 H 1.80
Fe: 0.5000 0.0000 0.0000  2 H 1.80

***

No. 11
Density functional theory data (meta-GGA SCAN) for CoRh2 at its PBEsol-relaxed geometry.

Computed properties:
- SG = Pmmn, No. 59
- spin magnetization (μB per formula unit) = 2.6
- energy of formation (eV per atom) = 0.049

Cell: 2.6240 3.6701 7.8129 Å, 90.00 90.00 90.00°
With the nearest neighbours (Å) after each atom.
Sites, in units of the cell vectors:
Co: 0.0000 0.0000 0.5770  6 Rh 2.45-2.62, 6 Co 2.56-2.62
Co: 0.5000 0.5000 0.4230  6 Rh 2.45-2.62, 6 Co 2.56-2.62
Rh: 0.0000 0.0000 0.2638  5 Co 2.45-2.58, 6 Rh 2.62-2.64
Rh: 0.5000 0.5000 0.0877  1 Co 2.62, 11 Rh 2.62-2.75
Rh: 0.0000 0.0000 0.9123  1 Co 2.62, 11 Rh 2.62-2.75
Rh: 0.5000 0.5000 0.7362  5 Co 2.45-2.58, 6 Rh 2.62-2.64

***

No. 12
Density functional theory data (meta-GGA SCAN) for ScFe2Pt at its PBEsol-relaxed geometry.

Computed properties:
- SG = R-3m, No. 166
- spin magnetization (μB per formula unit) = 5.4
- energy of formation (eV per atom) = 0.074

Cell: 2.7683 2.7683 8.8107 Å, 80.96 80.96 60.00°
With the nearest neighbours (Å) after each atom.
Sites, in units of the cell vectors:
Fe: 0.2477 0.2477 0.2570  3 Pt 2.64, 3 Sc 2.74, 6 Fe 2.77
Fe: 0.7523 0.7523 0.7430  3 Pt 2.64, 3 Sc 2.74, 6 Fe 2.77
Pt: 0.5000 0.5000 0.5000  6 Fe 2.64, 6 Pt 2.77
Sc: 0.0000 0.0000 0.0000  6 Fe 2.74, 6 Sc 2.77

***

Which formula does entry 5 have? CaMg2Zr